[1]
Below is a relaxed CsRb9Hg2 crystal, with properties calculated at the GGA-PBE level.

Calculated values
DOS(E_F): 11.55 states/eV/cell
formation energy from the elements: -68.7 kJ/mol of formula units
SG: No. 191
total magnetic moment: 0.000 μB/atom
final energy: -0.9064 eV/atom
calculated volume: 76.21 Å³ per atom

Cell: 13.6408 13.6408 5.6753 Å, 90.00 90.00 120.00°
Fractional positions:
Cs: 0.0000 0.0000 0.0000
Rb: 0.0000 0.5000 0.0000
Rb: 0.2127 0.4253 0.5000
Rb: 0.2127 0.7873 0.5000
Rb: 0.4253 0.2127 0.5000
Rb: 0.5000 0.0000 0.0000
Rb: 0.5000 0.5000 0.0000
Rb: 0.5747 0.7873 0.5000
Rb: 0.7873 0.2127 0.5000
Rb: 0.7873 0.5747 0.5000
Hg: 0.3333 0.6667 0.0000
Hg: 0.6667 0.3333 0.0000

[2]
Below is a relaxed CsRbHg2 crystal, with properties calculated at the GGA-PBE level.

Calculated values
DOS(E_F): 26.73 states/eV/cell
formation energy from the elements: -70.9 kJ/mol of formula units
SG: No. 225
total magnetic moment: 0.000 μB/atom
energy above the lowest structure with this stoichiometry: 0.0629 eV per atom
final energy: -0.7900 eV/atom
calculated volume: 46.84 Å³ per atom

Cell: 9.0834 9.0834 9.0834 Å, 90.00 90.00 90.00°
Fractional positions:
Cs: 0.0000 0.0000 0.0000
Cs: 0.0000 0.5000 0.5000
Cs: 0.5000 0.0000 0.5000
Cs: 0.5000 0.5000 0.0000
Rb: 0.0000 0.0000 0.5000
Rb: 0.0000 0.5000 0.0000
Rb: 0.5000 0.0000 0.0000
Rb: 0.5000 0.5000 0.5000
Hg: 0.2500 0.2500 0.2500
Hg: 0.2500 0.2500 0.7500
Hg: 0.2500 0.7500 0.2500
Hg: 0.2500 0.7500 0.7500
Hg: 0.7500 0.2500 0.2500
Hg: 0.7500 0.2500 0.7500
Hg: 0.7500 0.7500 0.2500
Hg: 0.7500 0.7500 0.7500